Entry 1:
# YSc2Pt GGA-PBE relaxed
data_YSc2Pt
_symmetry_space_group_name_H-M 'P n m a'
_symmetry_Int_Tables_number 62
_symmetry_space_group_name_Hall '-P 2ac 2n'
_cell_length_a 6.862
_cell_length_b 9.043
_cell_length_c 6.149
_cell_angle_alpha 90.00
_cell_angle_beta 90.00
_cell_angle_gamma 90.00
loop_
_atom_site_label
_atom_site_type_symbol
_atom_site_fract_x
_atom_site_fract_y
_atom_site_fract_z
Y1 Y 0.017 0.250 0.118
Sc1 Sc 0.177 0.058 0.674
Pt1 Pt 0.109 0.750 0.431
# Energy relative to the elements (meV/atom): -701
# Energy above the most stable polymorph in this dataset (meV/atom): 4.5
# DOS(E_F) (states/eV/cell): 21.9



Entry 2:
# TcSn2Mo GGA-PBE relaxed
data_TcSn2Mo
_symmetry_space_group_name_H-M 'A m m 2'
_symmetry_Int_Tables_number 38
_symmetry_space_group_name_Hall 'A 2 -2'
_cell_length_a 4.421
_cell_length_b 3.411
_cell_length_c 10.262
_cell_angle_alpha 90.00
_cell_angle_beta 90.00
_cell_angle_gamma 90.00
loop_
_atom_site_label
_atom_site_type_symbol
_atom_site_fract_x
_atom_site_fract_y
_atom_site_fract_z
Tc1 Tc 0.000 0.000 0.000
Sn1 Sn 0.000 0.000 0.278
Sn2 Sn 0.500 0.000 0.597
Mo1 Mo 0.500 0.000 0.875
# Energy relative to the elements (meV/atom): 183
# Energy above the most stable polymorph in this dataset (meV/atom): 191.1
# DOS(E_F) (states/eV/cell): 4.4



Entry 3:
# CaTePCl2 GGA-PBE relaxed
data_CaTePCl2
_symmetry_space_group_name_H-M 'P 4/m m m'
_symmetry_Int_Tables_number 123
_symmetry_space_group_name_Hall '-P 4 2'
_cell_length_a 5.262
_cell_length_b 5.262
_cell_length_c 5.372
_cell_angle_alpha 90.00
_cell_angle_beta 90.00
_cell_angle_gamma 90.00
loop_
_atom_site_label
_atom_site_type_symbol
_atom_site_fract_x
_atom_site_fract_y
_atom_site_fract_z
Ca1 Ca 0.000 0.000 0.000
Te1 Te 0.500 0.500 0.500
P1 P 0.500 0.500 0.000
Cl1 Cl 0.000 0.500 0.500
# Energy above the most stable polymorph in this dataset (meV/atom): 175.1
# Energy relative to the elements, uncorrected (eV per atom): -0.288
# DOS(E_F) (states/eV/cell): 1.7



Entry 4:
# CsN3F9 GGA-PBE relaxed
data_CsN3F9
_symmetry_space_group_name_H-M 'C 1 2 1'
_symmetry_Int_Tables_number 5
_symmetry_space_group_name_Hall 'C 2y'
_cell_length_a 8.296
_cell_length_b 16.570
_cell_length_c 7.734
_cell_angle_alpha 90.00
_cell_angle_beta 96.47
_cell_angle_gamma 90.00
loop_
_atom_site_label
_atom_site_type_symbol
_atom_site_fract_x
_atom_site_fract_y
_atom_site_fract_z
Cs1 Cs 0.162 0.000 0.233
N1 N 0.137 0.739 0.827
N2 N 0.156 0.153 0.699
N3 N 0.197 0.425 0.307
F1 F 0.000 0.141 0.500
F2 F 0.000 0.742 0.000
F3 F 0.057 0.792 0.710
F4 F 0.059 0.187 0.812
F5 F 0.095 0.665 0.755
F6 F 0.096 0.491 0.338
F7 F 0.110 0.389 0.162
F8 F 0.157 0.015 0.891
F9 F 0.157 0.370 0.444
F10 F 0.239 0.219 0.646
# Energy relative to the elements, uncorrected (eV per atom): -0.610
# DOS(E_F) (states/eV/cell): 16.9



Number 1: calculated volume 23.851 Å³ per atom, total DFT energy (no corrections) -6.993 eV per atom. Number 2: calculated volume 19.341 Å³ per atom, total DFT energy (no corrections) -7.118 eV per atom. Number 3: calculated volume 29.744 Å³ per atom, total DFT energy (no corrections) -3.137 eV per atom. Number 4: calculated volume 20.315 Å³ per atom, total DFT energy (no corrections) -3.892 eV per atom.